Record 1
This record from the Open Quantum Materials Database describes a relaxed structure of TcMoAs. The functional is PBE.

Computed properties:
As for the crystal system: cubic. Its offset from the most stable computed form is 0.00 eV per formula unit. The raw total energy comes out at -103.57 eV per cell.

a = 5.927 Å, b = 5.927 Å, c = 5.927 Å
α = 90.00°, β = 90.00°, γ = 90.00°
Space group F-43m (No. 216)
Unique sites:
Tc1 0.000 0.000 0.000 [4 per cell]
Mo1 0.250 0.250 0.250 [4 per cell]
As1 0.250 0.250 0.750 [4 per cell]

***

Record 2
This record from the Open Quantum Materials Database describes a relaxed structure of Nb2Co. The functional is PBE.

Computed properties:
As for the crystal system: cubic. The calculation puts the energy of formation from the pure elements at 281.01 kJ per mole of atoms. The raw total energy comes out at -148.46 eV per cell.

a = 10.467 Å, b = 10.467 Å, c = 10.467 Å
α = 90.00°, β = 90.00°, γ = 90.00°
Space group Fd-3m (No. 227, origin choice 2)
Unique sites:
Nb1 0.000 0.000 0.000 [16 per cell]
Co1 0.125 0.125 0.125 [8 per cell]

***

Record 3
This record from the Open Quantum Materials Database describes a relaxed structure of RbGaFe. The functional is PBE.

Computed properties:
As for the crystal system: cubic. Its offset from the most stable computed form is 0.03 eV per formula unit. The raw total energy comes out at -36.24 eV per cell.

a = 7.253 Å, b = 7.253 Å, c = 7.253 Å
α = 90.00°, β = 90.00°, γ = 90.00°
Space group F-43m (No. 216)
Unique sites:
Rb1 0.000 0.000 0.000 [4 per cell]
Ga1 0.250 0.250 0.750 [4 per cell]
Fe1 0.000 0.000 0.500 [4 per cell]

***

Record 4
This record from the Open Quantum Materials Database describes a relaxed structure of PrSm2Ge4Ir4. The functional is PBE.

Computed properties:
As for the crystal system: orthorhombic. The raw total energy comes out at -154.09 eV per cell.

a = 4.132 Å, b = 4.222 Å, c = 25.224 Å
α = 90.00°, β = 90.00°, γ = 90.00°
Space group Immm (No. 71)
Unique sites:
Pr1 0.000 0.000 0.000 [2 per cell]
Sm1 0.000 0.500 0.145 [4 per cell]
Ge1 0.000 0.000 0.450 [4 per cell]
Ge2 0.000 0.500 0.304 [4 per cell]
Ir1 0.000 0.000 0.250 [4 per cell]
Ir2 0.000 0.500 0.401 [4 per cell]

***

Record 5
This record from the Open Quantum Materials Database describes a relaxed structure of HfSiPd. The functional is PBE.

Computed properties:
As for the crystal system: orthorhombic. The raw total energy comes out at -93.73 eV per cell.

a = 6.585 Å, b = 3.882 Å, c = 7.595 Å
α = 90.00°, β = 90.00°, γ = 90.00°
Space group Pnma (No. 62)
Unique sites:
Hf1 0.028 0.250 0.178 [4 per cell]
Si1 0.241 0.750 0.375 [4 per cell]
Pd1 0.143 0.250 0.562 [4 per cell]

***

Record 6
This record from the Open Quantum Materials Database describes a relaxed structure of RbDyAuSe3. The functional is PBE.

Computed properties:
As for the crystal system: orthorhombic. The raw total energy comes out at -103.87 eV per cell.

a = 4.082 Å, b = 15.710 Å, c = 10.674 Å
α = 90.00°, β = 90.00°, γ = 90.00°
Space group Cmcm (No. 63)
Unique sites:
Rb1 0.000 0.247 0.250 [4 per cell]
Dy1 0.000 0.000 0.000 [4 per cell]
Au1 0.000 0.465 0.750 [4 per cell]
Se1 0.000 0.073 0.750 [4 per cell]
Se2 0.000 0.374 0.548 [8 per cell]

***

Record 7
This record from the Open Quantum Materials Database describes a relaxed structure of LuCuBOs. The functional is PBE.

Computed properties:
As for the crystal system: cubic. Its offset from the most stable computed form is 0.00 eV per formula unit. The raw total energy comes out at -95.01 eV per cell.

a = 6.089 Å, b = 6.089 Å, c = 6.089 Å
α = 90.00°, β = 90.00°, γ = 90.00°
Space group F-43m (No. 216)
Unique sites:
Lu1 0.000 0.000 0.000 [4 per cell]
Cu1 0.250 0.250 0.750 [4 per cell]
B1 0.000 0.000 0.500 [4 per cell]
Os1 0.250 0.250 0.250 [4 per cell]

***

Record 8
This record from the Open Quantum Materials Database describes a relaxed structure of ZrCuSbPd. The functional is PBE.

Computed properties:
As for the crystal system: cubic. Its offset from the most stable computed form is 0.00 eV per formula unit. The raw total energy comes out at -91.59 eV per cell.

a = 6.612 Å, b = 6.612 Å, c = 6.612 Å
α = 90.00°, β = 90.00°, γ = 90.00°
Space group F-43m (No. 216)
Unique sites:
Zr1 0.000 0.000 0.000 [4 per cell]
Cu1 0.250 0.250 0.750 [4 per cell]
Sb1 0.000 0.000 0.500 [4 per cell]
Pd1 0.250 0.250 0.250 [4 per cell]

***

Record 9
This record from the Open Quantum Materials Database describes a relaxed structure of TaBePb. The functional is PBE.

Computed properties:
As for the crystal system: cubic. Its offset from the most stable computed form is 0.75 eV per formula unit. The raw total energy comes out at -59.75 eV per cell.

a = 6.389 Å, b = 6.389 Å, c = 6.389 Å
α = 90.00°, β = 90.00°, γ = 90.00°
Space group F-43m (No. 216)
Unique sites:
Ta1 0.000 0.000 0.000 [4 per cell]
Be1 0.000 0.000 0.500 [4 per cell]
Pb1 0.250 0.250 0.750 [4 per cell]

***

Record 10
This record from the Open Quantum Materials Database describes a relaxed structure of SnMo4SN2. The functional is PBE.

Computed properties:
As for the crystal system: hexagonal. The raw total energy comes out at -68.85 eV per cell.

a = 3.3065 Å, b = 3.3065 Å, c = 11.9034 Å
α = 90.00°, β = 90.00°, γ = 120.00°
Space group P-6m2 (No. 187)
Unique sites:
Sn1 0.0000 0.0000 0.0000 [1 per cell]
Mo1 0.0000 0.0000 0.3574 [2 per cell]
Mo2 0.6667 0.3333 0.1931 [2 per cell]
S1 0.6667 0.3333 0.5000 [1 per cell]
N1 0.3333 0.6667 0.2558 [2 per cell]

***

Record 11
This record from the Open Quantum Materials Database describes a relaxed structure of PrAuSeO. The functional is PBE.

Computed properties:
As for the crystal system: orthorhombic. The raw total energy comes out at -191.60 eV per cell.

a = 19.133 Å, b = 5.848 Å, c = 5.857 Å
α = 90.00°, β = 90.00°, γ = 90.00°
Space group Aea2 (No. 41)
Unique sites:
Pr1 0.062 0.250 0.000 [8 per cell]
Au1 0.250 0.002 0.003 [8 per cell]
Se1 0.143 0.251 0.501 [8 per cell]
O1 0.000 0.000 0.250 [4 per cell]
O2 0.000 0.000 0.750 [4 per cell]

***

Record 12
This record from the Open Quantum Materials Database describes a relaxed structure of YSnPd2. The functional is PBE.

Computed properties:
As for the crystal system: cubic. The raw total energy comes out at -93.04 eV per cell.

a = 6.820 Å, b = 6.820 Å, c = 6.820 Å
α = 90.00°, β = 90.00°, γ = 90.00°
Space group F-43m (No. 216)
Unique sites:
Y1 0.000 0.000 0.000 [4 per cell]
Sn1 0.250 0.250 0.750 [4 per cell]
Pd1 0.000 0.000 0.500 [4 per cell]
Pd2 0.250 0.250 0.250 [4 per cell]

***

Record 13
This record from the Open Quantum Materials Database describes a relaxed structure of PrNdU. The functional is PBE.

Computed properties:
As for the crystal system: cubic. The calculation puts the energy of formation from the pure elements at 118.92 kJ per mole of atoms. Its offset from the most stable computed form is 0.00 eV per formula unit. The raw total energy comes out at -68.55 eV per cell.

a = 7.593 Å, b = 7.593 Å, c = 7.593 Å
α = 90.00°, β = 90.00°, γ = 90.00°
Space group F-43m (No. 216)
Unique sites:
Pr1 0.000 0.000 0.000 [4 per cell]
Nd1 0.000 0.000 0.500 [4 per cell]
U1 0.250 0.250 0.750 [4 per cell]

***

Record 14
This record from the Open Quantum Materials Database describes a relaxed structure of KP5Os3. The functional is PBE.

Computed properties:
As for the crystal system: hexagonal. The raw total energy comes out at -59.93 eV per cell.

a = 5.5285 Å, b = 5.5285 Å, c = 7.1390 Å
α = 90.00°, β = 90.00°, γ = 120.00°
Space group P6/mmm (No. 191)
Unique sites:
K1 0.0000 0.0000 0.0000 [1 per cell]
P1 0.0000 0.0000 0.5000 [1 per cell]
P2 0.3333 0.6667 0.2509 [4 per cell]
Os1 0.0000 0.5000 0.5000 [3 per cell]

***

Record 15
This record from the Open Quantum Materials Database describes a relaxed structure of Y2Tc3Os. The functional is PBE.

Computed properties:
As for the crystal system: hexagonal. The calculation puts the energy of formation from the pure elements at -21.71 kJ per mole of atoms. The raw total energy comes out at -113.18 eV per cell.

a = 5.3177 Å, b = 5.3177 Å, c = 9.0102 Å
α = 90.00°, β = 90.00°, γ = 120.00°
Space group P6_3/mmc (No. 194)
Unique sites:
Y1 0.3333 0.6667 0.0627 [4 per cell]
Tc1 0.1710 0.3420 0.7500 [6 per cell]
Os1 0.0000 0.0000 0.0000 [2 per cell]

***

Record 16
This record from the Open Quantum Materials Database describes a relaxed structure of ScNi2Pd2. The functional is PBE.

Computed properties:
As for the crystal system: tetragonal. The calculation puts the energy of formation from the pure elements at -20.77 kJ per mole of atoms. The raw total energy comes out at -57.78 eV per cell.

a = 3.841 Å, b = 3.841 Å, c = 10.569 Å
α = 90.00°, β = 90.00°, γ = 90.00°
Space group I4/mmm (No. 139)
Unique sites:
Sc1 0.000 0.000 0.000 [2 per cell]
Ni1 0.000 0.000 0.399 [4 per cell]
Pd1 0.000 0.500 0.250 [4 per cell]

***

Record 17
This record from the Open Quantum Materials Database describes a relaxed structure of Gd3Y3Te2Os. The functional is PBE.

Computed properties:
As for the crystal system: hexagonal. Its offset from the most stable computed form is 0.17 eV per formula unit. The raw total energy comes out at -57.23 eV per cell.

a = 8.3720 Å, b = 8.3720 Å, c = 4.0452 Å
α = 90.00°, β = 90.00°, γ = 120.00°
Space group P-62m (No. 189)
Unique sites:
Gd1 0.0000 0.2406 0.0000 [3 per cell]
Y1 0.0000 0.6068 0.5000 [3 per cell]
Te1 0.3333 0.6667 0.0000 [2 per cell]
Os1 0.0000 0.0000 0.5000 [1 per cell]

***

Record 18
This record from the Open Quantum Materials Database describes a relaxed structure of HfAlGa2. The functional is PBE.

Computed properties:
As for the crystal system: tetragonal. The raw total energy comes out at -42.30 eV per cell.

a = 3.927 Å, b = 3.927 Å, c = 8.876 Å
α = 90.00°, β = 90.00°, γ = 90.00°
Space group I4/mmm (No. 139)
Unique sites:
Hf1 0.000 0.000 0.000 [2 per cell]
Al1 0.000 0.000 0.500 [2 per cell]
Ga1 0.000 0.500 0.250 [4 per cell]

***

Record 19
This record from the Open Quantum Materials Database describes a relaxed structure of Tm3Ni2Sn3Pd. The functional is PBE.

Computed properties:
As for the crystal system: hexagonal. The raw total energy comes out at -48.37 eV per cell.

a = 7.2892 Å, b = 7.2892 Å, c = 3.9556 Å
α = 90.00°, β = 90.00°, γ = 120.00°
Space group P-62m (No. 189)
Unique sites:
Tm1 0.0000 0.5917 0.0000 [3 per cell]
Ni1 0.3333 0.6667 0.5000 [2 per cell]
Sn1 0.0000 0.2685 0.5000 [3 per cell]
Pd1 0.0000 0.0000 0.0000 [1 per cell]

***

Record 20
This record from the Open Quantum Materials Database describes a relaxed structure of FeSnHgPd. The functional is PBE.

Computed properties:
As for the crystal system: cubic. Its offset from the most stable computed form is 0.00 eV per formula unit. The raw total energy comes out at -70.00 eV per cell.

a = 6.576 Å, b = 6.576 Å, c = 6.576 Å
α = 90.00°, β = 90.00°, γ = 90.00°
Space group F-43m (No. 216)
Unique sites:
Fe1 0.000 0.000 0.000 [4 per cell]
Sn1 0.250 0.250 0.750 [4 per cell]
Hg1 0.250 0.250 0.250 [4 per cell]
Pd1 0.000 0.000 0.500 [4 per cell]

***

Record 21
This record from the Open Quantum Materials Database describes a relaxed structure of SmHoFe2Si2. The functional is PBE.

Computed properties:
As for the crystal system: tetragonal. The raw total energy comes out at -40.47 eV per cell.

a = 4.035 Å, b = 4.035 Å, c = 6.588 Å
α = 90.00°, β = 90.00°, γ = 90.00°
Space group P4mm (No. 99)
Unique sites:
Sm1 0.000 0.000 0.000 [1 per cell]
Ho1 0.500 0.500 0.366 [1 per cell]
Fe1 0.000 0.500 0.672 [2 per cell]
Si1 0.000 0.000 0.497 [1 per cell]
Si2 0.500 0.500 0.848 [1 per cell]

***

Record 22
This record from the Open Quantum Materials Database describes a relaxed structure of DySbIr. The functional is PBE.

Computed properties:
As for the crystal system: hexagonal. The raw total energy comes out at -55.05 eV per cell.

a = 8.2137 Å, b = 8.2137 Å, c = 3.2610 Å
α = 90.00°, β = 90.00°, γ = 120.00°
Space group P-62m (No. 189)
Unique sites:
Dy1 0.0000 0.3000 0.0000 [3 per cell]
Sb1 0.0000 0.0000 0.5000 [1 per cell]
Sb2 0.3333 0.6667 0.0000 [2 per cell]
Ir1 0.0000 0.6471 0.5000 [3 per cell]

***

Record 23
This record from the Open Quantum Materials Database describes a relaxed structure of ZrTaTlCu. The functional is PBE.

Computed properties:
As for the crystal system: cubic. Its offset from the most stable computed form is 0.00 eV per formula unit. The raw total energy comes out at -96.48 eV per cell.

a = 6.816 Å, b = 6.816 Å, c = 6.816 Å
α = 90.00°, β = 90.00°, γ = 90.00°
Space group F-43m (No. 216)
Unique sites:
Zr1 0.000 0.000 0.000 [4 per cell]
Ta1 0.250 0.250 0.250 [4 per cell]
Tl1 0.000 0.000 0.500 [4 per cell]
Cu1 0.250 0.250 0.750 [4 per cell]

***

Record 24
This record from the Open Quantum Materials Database describes a relaxed structure of HoZrZnCo2. The functional is PBE.

Computed properties:
As for the crystal system: orthorhombic. The calculation puts the energy of formation from the pure elements at -29.51 kJ per mole of atoms. The raw total energy comes out at -60.26 eV per cell.

a = 4.051 Å, b = 5.338 Å, c = 7.755 Å
α = 90.00°, β = 90.00°, γ = 90.00°
Space group Imm2 (No. 44)
Unique sites:
Ho1 0.000 0.000 0.000 [2 per cell]
Zr1 0.000 0.000 0.418 [2 per cell]
Zn1 0.000 0.500 0.204 [2 per cell]
Co1 0.000 0.284 0.712 [4 per cell]

***

Record 25
This record from the Open Quantum Materials Database describes a relaxed structure of MgScZnNi. The functional is PBE.

Computed properties:
As for the crystal system: cubic. Its offset from the most stable computed form is 0.00 eV per formula unit. The raw total energy comes out at -63.82 eV per cell.

a = 6.382 Å, b = 6.382 Å, c = 6.382 Å
α = 90.00°, β = 90.00°, γ = 90.00°
Space group F-43m (No. 216)
Unique sites:
Mg1 0.000 0.000 0.000 [4 per cell]
Sc1 0.000 0.000 0.500 [4 per cell]
Zn1 0.250 0.250 0.750 [4 per cell]
Ni1 0.250 0.250 0.250 [4 per cell]

***

Record 26
This record from the Open Quantum Materials Database describes a relaxed structure of Sm3Cl2. The functional is PBE.

Computed properties:
As for the crystal system: trigonal. The raw total energy comes out at -138.35 eV per cell.

a = 7.0015 Å, b = 7.0015 Å, c = 18.8755 Å
α = 90.00°, β = 90.00°, γ = 120.00°
Space group R-3c (No. 167, hexagonal axes)
Unique sites:
Sm1 0.0000 0.3410 0.2500 [18 per cell]
Cl1 0.0000 0.0000 0.1657 [12 per cell]